# 1
Below is a relaxed Pa2AlGe3Rh4 crystal, with properties calculated at the GGA-PBE level.

Values from the calculation:
As for the space group: P-4m2. The value obtained for the total energy is -7.3808 eV/atom. The formation enthalpy at 0 K comes out at -0.782 eV/atom. The calculated density comes out at 10.505 g/cm3. The crystal system is tetragonal. The value obtained for the density of states at the Fermi level is 8.14 states/eV/cell.

a b c (Å): 4.109 4.109 10.473
angles (deg): 90.00 90.00 90.00
Atoms (fractional coordinates):
Pa1 0.500 0.000 0.249
Pa2 0.000 0.500 0.751
Al1 0.500 0.500 0.500
Ge1 0.000 0.000 0.500
Ge2 0.500 0.000 0.868
Ge3 0.000 0.500 0.132
Rh1 0.500 0.500 0.000
Rh2 0.000 0.000 0.000
Rh3 0.500 0.000 0.637
Rh4 0.000 0.500 0.363

=====

# 2
Below is a relaxed RbHAu crystal, with properties calculated at the GGA-PBE level.

Values from the calculation:
As for the space group: P-6m2. The value obtained for the total energy is -2.3846 eV/atom. The relative energy among the computed polymorphs is 383 meV/atom. The calculated density comes out at 7.212 g/cm3. The crystal system is hexagonal. The value obtained for the density of states at the Fermi level is 0.86 states/eV/cell.

a b c (Å): 5.069 3.856 3.856
angles (deg): 120.00 90.00 90.00
Atoms (fractional coordinates):
H1 0.166 0.000 0.000
Au1 0.167 0.333 0.667
Rb1 0.667 0.667 0.333

=====

# 3
Below is a relaxed BaNa2GaSe4 crystal, with properties calculated at the GGA-PBE level.

Values from the calculation:
As for the space group: I-42m. The value obtained for the total energy is -3.7390 eV/atom. The calculated density comes out at 4.081 g/cm3. The crystal system is tetragonal. The value obtained for the density of states at the Fermi level is 10.26 states/eV/cell.

a b c (Å): 7.611 6.703 6.703
angles (deg): 73.23 55.41 55.41
Atoms (fractional coordinates):
Ba1 0.000 0.000 0.000
Na1 0.500 0.751 0.249
Na2 0.500 0.249 0.751
Ga1 0.000 0.500 0.500
Se1 0.613 0.535 0.851
Se2 0.387 0.149 0.465
Se3 0.000 0.465 0.149
Se4 0.000 0.851 0.535

=====

# 4
Below is a relaxed SrCd2Au crystal, with properties calculated at the GGA-PBE level.

Values from the calculation:
As for the space group: C2/m. The value obtained for the total energy is -2.0384 eV/atom. The formation enthalpy at 0 K comes out at -0.341 eV/atom. The calculated density comes out at 8.042 g/cm3. The crystal system is monoclinic. The value obtained for the density of states at the Fermi level is 2.03 states/eV/cell.

a b c (Å): 6.045 6.045 5.163
angles (deg): 65.36 65.36 38.42
Atoms (fractional coordinates):
Au1 0.250 0.250 0.250
Cd1 0.969 0.969 0.032
Cd2 0.531 0.531 0.468
Sr1 0.750 0.750 0.750

=====

Q: Number 3 is which compound?
A: BaNa2GaSe4